Record 1
ScMo2Au (PBE-GGA, optimized geometry); VASP energy = -7.4999 eV per atom; calculated formation energy = 0.318 eV/atom; size of the total moment = 0.0000 μB/atom; SG = P4/mmm
1.0
-1.834 1.590 2.509
0.109 -2.911 1.924
4.886 1.794 2.436
Mo Au Sc
2 1 1
Direct
0.000 0.000 0.988
0.000 0.000 0.512
0.500 0.500 0.750
0.500 0.500 0.250



Record 2
ScMo2Au (PBE-GGA, optimized geometry); VASP energy = -7.8450 eV per atom; calculated formation energy = -0.027 eV/atom; size of the total moment = 0.0000 μB/atom; SG = P4/mmm
1.0
4.643 0.000 0.000
0.000 3.857 0.000
0.000 0.000 3.857
Mo Au Sc
2 1 1
Direct
0.000 0.500 0.500
0.000 0.000 0.000
0.500 0.000 0.500
0.500 0.500 0.000



Record 3
ScMo2Au (PBE-GGA, optimized geometry); VASP energy = -7.8343 eV per atom; calculated formation energy = -0.016 eV/atom; size of the total moment = 0.0000 μB/atom; SG = Pm
1.0
-0.410 -1.386 3.938
-2.544 -1.218 -0.694
1.013 -5.728 -1.911
Sc Mo Au
1 2 1
Direct
0.000 0.422 0.501
0.500 0.231 0.228
0.000 0.084 0.030
0.500 0.763 0.741



Record 4
ScMo2Au (PBE-GGA, optimized geometry); VASP energy = -7.4268 eV per atom; calculated formation energy = 0.391 eV/atom; size of the total moment = 0.0000 μB/atom; SG = R-3m
1.0
-4.911 -7.246 4.398
-5.097 -8.199 1.658
-2.749 -8.820 3.257
Mo Sc Au
2 1 1
Direct
0.998 0.998 0.998
0.502 0.502 0.502
0.750 0.750 0.750
0.250 0.250 0.250



Record 5
ScMo2Au (PBE-GGA, optimized geometry); VASP energy = -7.6921 eV per atom; calculated formation energy = 0.126 eV/atom; size of the total moment = 0.0002 μB/atom; SG = C2/m
1.0
-3.020 -1.135 -4.159
2.896 -4.240 2.056
-2.065 -1.407 1.225
Mo Au Sc
2 1 1
Direct
0.000 0.000 0.000
0.500 0.000 0.500
0.500 0.500 0.000
0.000 0.500 0.500



Record 6
ScMo2Au (PBE-GGA, optimized geometry); VASP energy = -7.6143 eV per atom; calculated formation energy = 0.203 eV/atom; size of the total moment = 0.0000 μB/atom; SG = Pmmm
1.0
-1.725 -1.869 1.103
3.224 -3.325 -0.591
2.019 1.073 4.974
Au Mo Sc
1 2 1
Direct
0.500 0.500 0.750
0.000 0.000 0.018
0.000 0.000 0.482
0.500 0.500 0.250



Record 7
Sc4MoAu (PBE-GGA, optimized geometry); VASP energy = -6.1646 eV per atom; calculated formation energy = 0.408 eV/atom; size of the total moment = 0.0000 μB/atom; SG = F-43m
1.0
0.000 3.917 3.917
3.917 0.000 3.917
3.917 3.917 0.000
Sc Mo Au
4 1 1
Direct
0.375 0.375 0.375
0.375 0.375 0.876
0.375 0.876 0.375
0.876 0.375 0.375
0.000 0.000 0.000
0.750 0.750 0.750



Record 8
ScMo2Au (PBE-GGA, optimized geometry); VASP energy = -7.7224 eV per atom; calculated formation energy = 0.095 eV/atom; size of the total moment = 0.0000 μB/atom; SG = P4mm
1.0
-0.835 2.371 1.151
-1.823 -1.392 1.545
6.228 -0.956 6.489
Mo Sc Au
2 1 1
Direct
0.000 0.000 0.998
0.500 0.500 0.247
0.000 0.000 0.500
0.500 0.500 0.755



Question: The highest VASP energy belongs to which entry?
Answer: Sc4MoAu



Question: Which formula does entry 5 have?
Answer: ScMo2Au



Please write out number 4 again, unchanged.
ScMo2Au (PBE-GGA, optimized geometry); VASP energy = -7.4268 eV per atom; calculated formation energy = 0.391 eV/atom; size of the total moment = 0.0000 μB/atom; SG = R-3m
1.0
-4.911 -7.246 4.398
-5.097 -8.199 1.658
-2.749 -8.820 3.257
Mo Sc Au
2 1 1
Direct
0.998 0.998 0.998
0.502 0.502 0.502
0.750 0.750 0.750
0.250 0.250 0.250